ErNpPt | PBE-GGA | optimized geometry

Computed properties:
* energy relative to the elements: -1.07 eV per formula unit
* raw total energy: -8.154 eV/atom
* total moment: 4.9 μB per formula unit
* relative energy among the computed polymorphs: 0 meV/atom

```
data_ErNpPt
_space_group_name_H-M_alt 'F -4 3 m'
_space_group_IT_number 216
_space_group_name_Hall 'F -4 2 3'
_cell_length_a 6.840
_cell_length_b 6.840
_cell_length_c 6.840
_cell_angle_alpha 90.00
_cell_angle_beta 90.00
_cell_angle_gamma 90.00
loop_
_atom_site_label
_atom_site_type_symbol
_atom_site_fract_x
_atom_site_fract_y
_atom_site_fract_z
_atom_site_occupancy
Er1 Er 0.000 0.000 0.000 1
Np1 Np 0.000 0.000 0.500 1
Pt1 Pt 0.250 0.250 0.250 1
```